Material: MnB2SbO
Method: DFT, GGA+U
State: optimized geometry

a b c (Å): 4.5033 4.5033 3.9963
angles (deg): 90.00 90.00 90.00
Space group P4/mmm (No. 123)
Symmetry-distinct sites (fractional):
Mn: 0.0000 0.0000 0.0000 x1
B: 0.0000 0.5000 0.5000 x2
Sb: 0.5000 0.5000 0.5000 x1
O: 0.5000 0.5000 0.0000 x1

Computed properties:
total energy	-4.119	eV per atom